# 1
# PBE LiDyLu, relaxed
# **Energy relative to the elements**: 98 meV per atom
# **ρ**: 7.15 g/cm3
# **D(E_F)**: 4.37 states/eV/f.u.
# **E**: -3.58 eV/atom
data_LiDyLu
_chemical_formula_sum 'Li1 Dy1 Lu1'
_cell_length_a 6.699
_cell_length_b 6.699
_cell_length_c 6.699
_cell_angle_alpha 148.89
_cell_angle_beta 148.89
_cell_angle_gamma 44.57
_symmetry_space_group_name_H-M 'P 1'
_symmetry_Int_Tables_number 1
_symmetry_space_group_name_Hall 'P 1'
loop_
_atom_site_label
_atom_site_fract_x
_atom_site_fract_y
_atom_site_fract_z
_atom_site_occupancy
Li1 0.000 0.000 0.000 1
Dy1 0.342 0.342 0.000 1
Lu1 0.651 0.651 0.000 1

# 2
# PBE MnAgBr2, relaxed
# **Energy relative to the elements, uncorrected**: -30 kJ/mol of formula units
# **ρ**: 5.35 g/cm3
# **D(E_F)**: 1.32 states/eV/f.u.
# **E**: -3.92 eV/atom
data_MnAgBr2
_chemical_formula_sum 'Mn1 Ag1 Br2'
_cell_length_a 3.586
_cell_length_b 3.586
_cell_length_c 7.785
_cell_angle_alpha 90.00
_cell_angle_beta 90.00
_cell_angle_gamma 90.00
_symmetry_space_group_name_H-M 'P 1'
_symmetry_Int_Tables_number 1
_symmetry_space_group_name_Hall 'P 1'
loop_
_atom_site_label
_atom_site_fract_x
_atom_site_fract_y
_atom_site_fract_z
_atom_site_occupancy
Mn1 0.000 0.000 0.000 1
Ag1 0.500 0.500 0.189 1
Br1 0.000 0.000 0.359 1
Br2 0.500 0.500 0.805 1